Here is a geometry-optimized TaCr2Os2 structure from Alexandria via LeMat-Bulk. Energies are from PBE-GGA.

Cell: 7.1446 7.1446 2.7999 Å, 90.00 90.00 90.00°
With the nearest neighbours (Å) after each atom.
Atoms (fractional coordinates):
Ta1 0.0000 0.0000 0.0000  4 Cr 2.79, 2 Ta 2.80, 8 Os 3.01
Ta2 0.5000 0.5000 0.0000  4 Cr 2.79, 2 Ta 2.80, 8 Os 3.01
Cr1 0.1328 0.3672 0.0000  6 Os 2.47-2.56, 1 Cr 2.68
Cr2 0.3672 0.8672 0.0000  6 Os 2.47-2.56, 1 Cr 2.68
Cr3 0.6328 0.1328 0.0000  6 Os 2.47-2.56, 1 Cr 2.68
Cr4 0.8672 0.6328 0.0000  6 Os 2.47-2.56, 1 Cr 2.68
Os1 0.1654 0.6654 0.5000  6 Cr 2.47-2.56
Os2 0.3346 0.1654 0.5000  6 Cr 2.47-2.56
Os3 0.6654 0.8346 0.5000  6 Cr 2.47-2.56
Os4 0.8346 0.3346 0.5000  6 Cr 2.47-2.56

ΔE_f	0.104	eV per atom
ΔE to the lowest computed polymorph	0.000	eV per atom
uncorrected energy	-10.608	eV/atom

---

Here is a geometry-optimized Ta6Cr5Os structure from Alexandria via LeMat-Bulk. Energies are from PBE-GGA.

Cell: 6.9620 6.9620 6.2361 Å, 90.00 90.00 143.12°
With the nearest neighbours (Å) after each atom.
Atoms (fractional coordinates):
Ta1 0.0000 0.0000 0.2450  6 Cr 2.67-2.72, 2 Os 2.72
Ta2 0.0000 0.0000 0.7550  6 Cr 2.67-2.72, 2 Os 2.72
Ta3 0.3315 0.6685 0.2484  7 Cr 2.68-2.71, 1 Os 2.72
Ta4 0.3315 0.6685 0.7516  7 Cr 2.68-2.71, 1 Os 2.72
Ta5 0.6685 0.3315 0.2484  7 Cr 2.68-2.71, 1 Os 2.72
Ta6 0.6685 0.3315 0.7516  7 Cr 2.68-2.71, 1 Os 2.72
Cr1 0.1660 0.8340 0.0000  8 Ta 2.67-2.69
Cr2 0.1672 0.8328 0.5000  8 Ta 2.68-2.72
Cr3 0.5000 0.5000 0.0000  8 Ta 2.68-2.71
Cr4 0.8328 0.1672 0.5000  8 Ta 2.68-2.72
Cr5 0.8340 0.1660 0.0000  8 Ta 2.67-2.69
Os1 0.5000 0.5000 0.5000  8 Ta 2.72

ΔE_f	-0.144	eV per atom
uncorrected energy	-11.016	eV/atom

---

Here is a geometry-optimized TaCr2Os2 structure from Alexandria via LeMat-Bulk. Energies are from PBE-GGA.

Cell: 7.2491 7.2491 2.7564 Å, 90.00 90.00 90.00°
With the nearest neighbours (Å) after each atom.
Atoms (fractional coordinates):
Ta1 0.0000 0.0000 0.0000  2 Ta 2.76, 4 Os 2.83, 8 Cr 3.03
Ta2 0.5000 0.5000 0.0000  2 Ta 2.76, 4 Os 2.83, 8 Cr 3.03
Cr1 0.1661 0.3339 0.5000  6 Os 2.49-2.58, 2 Cr 2.76
Cr2 0.3339 0.8339 0.5000  6 Os 2.49-2.58, 2 Cr 2.76
Cr3 0.6661 0.1661 0.5000  6 Os 2.49-2.58, 2 Cr 2.76
Cr4 0.8339 0.6661 0.5000  6 Os 2.49-2.58, 2 Cr 2.76
Os1 0.1322 0.6322 0.0000  6 Cr 2.49-2.58, 3 Os 2.71-2.76
Os2 0.3678 0.1322 0.0000  6 Cr 2.49-2.58, 3 Os 2.71-2.76
Os3 0.6322 0.8678 0.0000  6 Cr 2.49-2.58, 3 Os 2.71-2.76
Os4 0.8678 0.3678 0.0000  6 Cr 2.49-2.58, 3 Os 2.71-2.76

ΔE_f	0.132	eV per atom
ΔE to the lowest computed polymorph	0.028	eV per atom
uncorrected energy	-10.580	eV/atom